First-principles (PBEsol) data for a geometry-optimized ScHg2P structure, as listed in Alexandria via LeMat-Bulk.

Values from the calculation:
DOS(E_F) ... 1.12 states/eV per cell
Volume ... 21.589 Å³/atom
Formation energy ... -417.7 meV per atom
Magnetization ... 0.0 μB/cell

abc: 3.991 3.994 6.664
angles: 107.42 90.00 119.98
Fractional positions:
Hg 0.990 0.980 0.971
Hg 0.752 0.505 0.257
P 0.576 0.153 0.730
Sc 0.181 0.362 0.543